TcPtI2 | PBE | optimized geometry

Computed properties:
* space-group type: I-42d, No. 122
* energy relative to the lowest polymorph listed for this composition: 0.00 eV/f.u.
* formation energy (no corrections): 770.8 meV/atom
* DOS(E_F): 1.215 states/eV/atom

Geometry as POSCAR:
```
TcPtI2
1.0
6.084 0.000 0.000
0.000 6.084 0.000
3.042 3.042 6.055
I Tc Pt
4 2 2
direct
0.615 0.125 0.250
0.135 0.625 0.250
0.375 0.385 0.750
0.875 0.865 0.750
0.500 0.500 0.000
0.250 0.750 0.500
0.000 0.000 0.000
0.750 0.250 0.500
```

***

Sc2NbZn | PBE | optimized geometry

Computed properties:
* space-group type: P4/mmm, No. 123
* DOS(E_F): 0.865 states/eV/atom
* energy of formation from the pure elements: -0.112 eV per atom

Geometry as POSCAR:
```
Sc2NbZn
1.0
-2.917 0.222 1.112
-1.123 -0.981 -2.752
0.392 -7.588 2.545
Sc Nb Zn
2 1 1
direct
0.000 0.000 0.765
0.000 0.000 0.235
0.500 0.500 0.500
0.500 0.500 0.000
```

***

Sr6Br7Cl5 | PBE | optimized geometry

Computed properties:
* space-group type: Amm2, No. 38
* formation energy (no corrections): -2257.2 meV/atom
* DOS(E_F): 0.000 states/eV/atom

Geometry as POSCAR:
```
Sr6Br7Cl5
1.0
7.003 0.268 0.000
-0.679 6.975 0.000
0.000 0.000 13.836
Sr Br Cl
6 7 5
direct
0.996 0.996 0.166
0.996 0.996 0.834
0.015 0.015 0.500
0.493 0.493 0.328
0.498 0.498 0.000
0.493 0.493 0.672
0.194 0.798 0.000
0.202 0.807 0.667
0.202 0.807 0.333
0.698 0.698 0.500
0.798 0.194 0.000
0.807 0.202 0.667
0.807 0.202 0.333
0.303 0.303 0.164
0.303 0.303 0.836
0.314 0.314 0.500
0.690 0.690 0.166
0.690 0.690 0.834
```

***

Pm2TmRu2 | PBE | optimized geometry

Computed properties:
* space-group type: Immm, No. 71
* energy relative to the lowest polymorph listed for this composition: 0.00 eV/f.u.
* DOS(E_F): 0.745 states/eV/atom
* energy of formation from the pure elements: -0.258 eV per atom

Geometry as POSCAR:
```
Pm2TmRu2
1.0
3.972 0.004 1.690
1.368 5.201 2.287
-0.134 0.384 5.830
Pm Tm Ru
2 1 2
direct
0.302 0.199 0.699
0.698 0.801 0.301
0.500 0.500 0.000
0.000 0.219 0.281
0.000 0.781 0.719
```

***

Hf4Au2N | PBE | optimized geometry

Computed properties:
* space-group type: Pbam, No. 55
* energy relative to the lowest polymorph listed for this composition: 0.04 eV/f.u.
* formation energy (no corrections): -729.2 meV/atom
* DOS(E_F): 0.590 states/eV/atom

Geometry as POSCAR:
```
Hf4Au2N
1.0
3.311 0.000 0.000
0.000 7.502 0.000
0.000 0.000 10.449
Hf Au N
8 4 2
direct
0.000 0.637 0.812
0.000 0.363 0.188
0.000 0.137 0.688
0.000 0.863 0.312
0.500 0.822 0.565
0.500 0.178 0.435
0.500 0.678 0.065
0.500 0.322 0.935
0.500 0.948 0.866
0.500 0.052 0.134
0.500 0.448 0.634
0.500 0.552 0.366
0.000 0.000 0.500
0.000 0.500 0.000
```

***

NiMoSe2 | PBE | optimized geometry

Computed properties:
* space-group type: F-43m, No. 216
* energy relative to the lowest polymorph listed for this composition: 3.83 eV/f.u.
* formation energy (no corrections): 645.8 meV/atom
* DOS(E_F): 1.152 states/eV/atom

Geometry as POSCAR:
```
NiMoSe2
1.0
-4.431 0.711 0.283
-2.685 -1.150 -3.419
-2.813 -3.482 0.424
Mo Ni Se
1 1 2
direct
0.500 0.500 0.500
0.750 0.750 0.750
0.000 0.000 0.000
0.250 0.250 0.250
```

***

SrAc2ZrO6 | PBE | optimized geometry

Computed properties:
* space-group type: P4mm, No. 99
* formation energy (no corrections): -3132.7 meV/atom
* DOS(E_F): 0.000 states/eV/atom

Geometry as POSCAR:
```
SrAc2ZrO6
1.0
-2.982 3.047 -3.679
-4.830 -2.530 1.820
-0.668 4.119 3.953
Sr Ac Zr O
1 2 1 6
direct
0.553 0.500 0.500
0.991 0.500 0.000
0.991 0.000 0.500
0.593 0.000 0.000
0.739 0.234 0.234
0.739 0.234 0.766
0.131 0.500 0.500
0.234 0.000 0.000
0.739 0.766 0.766
0.739 0.766 0.234
```

***

DyHo2ScTl2 | PBE | optimized geometry

Computed properties:
* space-group type: Pmc2_1, No. 26
* DOS(E_F): 1.108 states/eV/atom
* energy of formation from the pure elements: -0.259 eV per atom

Geometry as POSCAR:
```
DyHo2ScTl2
1.0
-1.067 3.312 -3.511
1.644 -4.585 -4.824
-9.214 -3.136 -0.160
Dy Ho Sc Tl
2 4 2 4
direct
0.000 0.956 0.453
0.000 0.456 0.547
0.500 0.056 0.048
0.000 0.344 0.189
0.500 0.556 0.952
0.000 0.844 0.811
0.500 0.167 0.695
0.500 0.667 0.305
0.000 0.296 0.863
0.500 0.227 0.380
0.000 0.796 0.137
0.500 0.727 0.620
```

***

Sc4ReTe | PBE | optimized geometry

Computed properties:
* space-group type: F-43m, No. 216
* formation energy (no corrections): 425.5 meV/atom
* DOS(E_F): 1.274 states/eV/atom

Geometry as POSCAR:
```
Sc4ReTe
1.0
-4.885 -2.705 0.698
-4.433 2.709 2.163
-4.403 1.253 -3.273
Sc Re Te
4 1 1
direct
0.883 0.372 0.372
0.372 0.372 0.883
0.372 0.883 0.372
0.372 0.372 0.372
0.000 0.000 0.000
0.750 0.750 0.750
```

***

HoEr3Ir8 | PBE | optimized geometry

Computed properties:
* space-group type: P3m1, No. 156
* energy relative to the lowest polymorph listed for this composition: 0.00 eV/f.u.
* DOS(E_F): 0.379 states/eV/atom
* energy of formation from the pure elements: -0.832 eV per atom

Geometry as POSCAR:
```
HoEr3Ir8
1.0
-2.684 4.539 0.862
-1.995 -3.697 -3.302
-4.145 -3.717 6.665
Ho Er Ir
1 3 8
direct
0.000 0.000 0.567
0.667 0.333 0.433
0.667 0.333 0.067
0.000 0.000 0.933
0.333 0.667 0.500
0.333 0.667 0.000
0.503 0.007 0.750
0.503 0.497 0.750
0.993 0.497 0.750
0.163 0.326 0.250
0.163 0.837 0.250
0.674 0.837 0.250
```

***

Ba2Cd6SnHg | PBE | optimized geometry

Computed properties:
* space-group type: Pmmn, No. 59
* DOS(E_F): 0.510 states/eV/atom
* energy of formation from the pure elements: -0.254 eV per atom

Geometry as POSCAR:
```
Ba2Cd6SnHg
1.0
5.954 0.000 0.000
0.000 10.875 0.000
0.000 0.000 9.553
Ba Cd Sn Hg
4 12 2 2
direct
0.500 0.734 0.258
0.000 0.266 0.758
0.500 0.734 0.742
0.000 0.266 0.242
0.500 0.080 0.245
0.500 0.080 0.755
0.000 0.920 0.255
0.000 0.920 0.745
0.249 0.015 0.500
0.751 0.015 0.500
0.247 0.498 0.500
0.753 0.498 0.500
0.747 0.502 0.000
0.253 0.502 0.000
0.251 0.985 0.000
0.749 0.985 0.000
0.000 0.743 0.500
0.500 0.257 0.000
0.500 0.266 0.500
0.000 0.734 0.000
```

***

Pa4Au3O12 | PBE | optimized geometry

Computed properties:
* space-group type: Im-3, No. 204
* formation energy (no corrections): -2473.1 meV/atom
* DOS(E_F): 0.629 states/eV/atom

Geometry as POSCAR:
```
Pa4Au3O12
1.0
-2.061 6.913 -1.050
4.543 -2.018 -5.332
-5.872 -4.320 -0.045
Pa Au O
4 3 12
direct
0.000 0.000 0.500
0.500 0.500 0.500
0.500 0.000 0.000
0.000 0.500 0.000
0.500 0.000 0.500
0.500 0.500 0.000
0.000 0.500 0.500
0.702 0.512 0.810
0.298 0.488 0.190
0.299 0.109 0.810
0.512 0.810 0.702
0.810 0.299 0.109
0.190 0.298 0.488
0.109 0.810 0.299
0.190 0.701 0.891
0.701 0.891 0.190
0.488 0.190 0.298
0.810 0.702 0.512
0.891 0.190 0.701
```

***

Rb3Cd2In7 | PBE | optimized geometry

Computed properties:
* space-group type: R-3m, No. 166
* DOS(E_F): 0.391 states/eV/atom
* energy of formation from the pure elements: -0.085 eV per atom

Geometry as POSCAR:
```
Rb3Cd2In7
1.0
-6.469 -0.278 -1.321
-2.994 -5.857 -0.634
-5.182 -2.083 9.281
Rb Cd In
3 2 7
direct
0.000 0.000 0.000
0.857 0.857 0.428
0.143 0.143 0.572
0.664 0.664 0.007
0.336 0.336 0.993
0.500 0.500 0.500
0.927 0.416 0.241
0.416 0.927 0.241
0.416 0.416 0.241
0.073 0.584 0.759
0.584 0.584 0.759
0.584 0.073 0.759
```

***

Ba4PtCl | PBE | optimized geometry

Computed properties:
* space-group type: C2/c, No. 15
* energy relative to the lowest polymorph listed for this composition: 0.00 eV/f.u.
* formation energy (no corrections): -817.9 meV/atom
* DOS(E_F): 1.104 states/eV/atom

Geometry as POSCAR:
```
Ba4PtCl
1.0
-0.532 -8.322 1.793
6.618 0.532 4.440
-8.991 2.697 5.883
Ba Pt Cl
8 2 2
direct
0.973 0.284 0.781
0.527 0.503 0.219
0.027 0.716 0.219
0.473 0.497 0.781
0.824 0.717 0.591
0.676 0.126 0.409
0.176 0.283 0.409
0.324 0.874 0.591
0.000 0.000 0.500
0.500 0.500 0.500
0.750 0.521 0.000
0.250 0.479 0.000
```

***

Tm2Zn2Ni5Sn | PBE | optimized geometry

Computed properties:
* space-group type: P4/mbm, No. 127
* DOS(E_F): 0.550 states/eV/atom
* energy of formation from the pure elements: -0.349 eV per atom

Geometry as POSCAR:
```
Tm2Zn2Ni5Sn
1.0
-2.484 2.637 0.172
-3.961 -3.227 -7.709
-5.452 -5.467 5.091
Tm Zn Ni Sn
4 4 10 2
direct
0.000 0.679 0.179
0.000 0.321 0.821
0.000 0.179 0.321
0.000 0.821 0.679
0.000 0.116 0.616
0.000 0.884 0.384
0.000 0.616 0.884
0.000 0.384 0.116
0.500 0.212 0.064
0.500 0.788 0.936
0.500 0.064 0.788
0.500 0.712 0.436
0.500 0.936 0.212
0.500 0.288 0.564
0.500 0.564 0.712
0.500 0.436 0.288
0.500 0.500 0.000
0.500 0.000 0.500
0.000 0.000 0.000
0.000 0.500 0.500
```

***

Li2GaSn | PBE | optimized geometry

Computed properties:
* space-group type: P4/mmm, No. 123
* DOS(E_F): 0.407 states/eV/atom
* energy of formation from the pure elements: -0.301 eV per atom

Geometry as POSCAR:
```
Li2GaSn
1.0
4.304 0.000 0.000
0.000 4.134 0.000
0.000 0.000 4.134
Sn Ga Li
1 1 2
direct
0.500 0.000 0.000
0.500 0.500 0.500
0.000 0.000 0.500
0.000 0.500 0.000
```

***

BaTm2Mg | PBE | optimized geometry

Computed properties:
* space-group type: R-3m, No. 166
* DOS(E_F): 1.261 states/eV/atom
* energy of formation from the pure elements: 0.282 eV per atom

Geometry as POSCAR:
```
BaTm2Mg
1.0
-0.627 -1.683 3.048
0.534 -3.489 0.236
11.670 0.306 4.623
Mg Tm Ba
1 2 1
direct
0.500 0.500 0.500
0.097 0.097 0.709
0.903 0.903 0.291
0.000 0.000 0.000
```

***

ZnAg4Te | PBE | optimized geometry

Computed properties:
* space-group type: F-43m, No. 216
* formation energy (no corrections): 159.3 meV/atom
* DOS(E_F): 0.404 states/eV/atom

Geometry as POSCAR:
```
ZnAg4Te
1.0
0.000 3.948 3.948
3.948 0.000 3.948
3.948 3.948 0.000
Zn Ag Te
1 4 1
direct
0.000 0.000 0.000
0.877 0.374 0.374
0.374 0.374 0.877
0.374 0.877 0.374
0.374 0.374 0.374
0.750 0.750 0.750
```

***

Rb3TmS3O12 | PBE | optimized geometry

Computed properties:
* space-group type: Cc, No. 9
* formation energy (no corrections): -2026.7 meV/atom
* DOS(E_F): 0.000 states/eV/atom

Geometry as POSCAR:
```
Rb3TmS3O12
1.0
-8.081 3.235 3.598
-0.278 -9.403 -0.484
-1.198 -3.544 8.679
Rb Tm S O
6 2 6 24
direct
0.351 0.311 0.620
0.311 0.351 0.120
0.795 0.664 0.024
0.664 0.795 0.524
0.446 0.952 0.856
0.952 0.446 0.356
0.162 0.844 0.503
0.844 0.162 0.003
0.451 0.742 0.240
0.742 0.451 0.740
0.523 0.137 0.355
0.137 0.523 0.855
0.959 0.074 0.642
0.074 0.959 0.142
0.924 0.593 0.595
0.593 0.924 0.095
0.527 0.655 0.326
0.655 0.527 0.826
0.317 0.755 0.367
0.755 0.317 0.867
0.651 0.370 0.663
0.370 0.651 0.163
0.598 0.310 0.337
0.310 0.598 0.837
0.664 0.104 0.272
0.104 0.664 0.772
0.405 0.116 0.279
0.116 0.405 0.779
0.406 0.995 0.542
0.995 0.406 0.042
0.794 0.026 0.640
0.026 0.794 0.140
0.009 0.936 0.644
0.936 0.009 0.144
0.101 0.244 0.492
0.244 0.101 0.992
0.074 0.936 0.308
0.936 0.074 0.808
```

***

Li4NO | PBE | optimized geometry

Computed properties:
* space-group type: P4/mmm, No. 123
* energy relative to the lowest polymorph listed for this composition: 0.22 eV/f.u.
* formation energy (no corrections): -925.9 meV/atom
* DOS(E_F): 0.054 states/eV/atom

Geometry as POSCAR:
```
Li4NO
1.0
-2.943 0.510 -1.428
0.283 -2.879 -1.610
-2.217 -2.312 3.743
Li N O
4 1 1
direct
0.000 0.500 0.263
0.500 0.000 0.737
0.000 0.500 0.737
0.500 0.000 0.263
0.000 0.000 0.000
0.500 0.500 0.500
```

***

NpZnIn2 | PBE | optimized geometry

Computed properties:
* space-group type: Fm-3m, No. 225
* DOS(E_F): 2.392 states/eV/atom
* energy of formation from the pure elements: 0.251 eV per atom

Geometry as POSCAR:
```
NpZnIn2
1.0
5.118 0.000 0.000
2.559 4.432 0.000
2.559 1.477 4.180
Np Zn In
1 1 2
direct
0.500 0.500 0.500
0.000 0.000 0.000
0.250 0.250 0.250
0.750 0.750 0.750
```